A plane-wave DFT calculation with PBE was carried out for a relaxed structure of Cs3Ce2UTe6.

The formation energy without anion corrections comes out at -1.1713 eV/atom.

CIF file:
```
data_Cs3Ce2UTe6
_chemical_formula_sum 'Cs6 Ce4 U2 Te12'
_space_group_name_H-M_alt 'C 1 2/m 1'
_space_group_IT_number 12
_space_group_name_Hall '-C 2y'
_cell_length_a 8.102
_cell_length_b 14.035
_cell_length_c 9.351
_cell_angle_alpha 90.00
_cell_angle_beta 106.78
_cell_angle_gamma 90.00
loop_
_atom_site_label
_atom_site_type_symbol
_atom_site_fract_x
_atom_site_fract_y
_atom_site_fract_z
Cs1 Cs 0.000 0.000 0.000
Cs2 Cs 0.000 0.331 0.000
Ce1 Ce 0.000 0.166 0.500
U1 U 0.000 0.500 0.500
Te1 Te 0.229 0.336 0.693
Te2 Te 0.237 0.000 0.694
```